Entry 1
{"formula": "ScTc3", "functional": "PBE", "state": "optimized geometry", "cell": [[5.031, 0.000, 0.000], [0.000, 5.031, 0.000], [0.000, 0.000, 5.031]], "species": ["Sc", "Sc", "Tc", "Tc", "Tc", "Tc", "Tc", "Tc"], "frac_coords": [[0.000, 0.000, 0.000], [0.500, 0.500, 0.500], [0.000, 0.250, 0.500], [0.000, 0.750, 0.500], [0.250, 0.500, 0.000], [0.500, 0.000, 0.250], [0.500, 0.000, 0.750], [0.750, 0.500, 0.000]], "spacegroup": "Pm-3n, No. 223", "crystal_system": "cubic"}


Entry 2
{"formula": "ScTc3", "functional": "PBE", "state": "optimized geometry", "cell": [[2.819, 0.000, 0.000], [0.000, 4.397, 0.000], [-0.952, 0.000, 5.036]], "species": ["Sc", "Tc", "Tc", "Tc"], "frac_coords": [[0.000, 0.000, 0.000], [0.264, 0.500, 0.749], [0.500, 0.000, 0.500], [0.736, 0.500, 0.251]], "spacegroup": "P2/m, No. 10", "crystal_system": "monoclinic"}


What should be chosen as the most stable of them? Choose entry 2.


Entry 1
{"formula": "ScTc3", "functional": "PBE", "state": "optimized geometry", "cell": [[5.249, 0.000, 0.000], [0.000, 9.199, 0.000], [0.000, 0.000, 5.314]], "species": ["Sc", "Sc", "Sc", "Sc", "Tc", "Tc", "Tc", "Tc", "Tc", "Tc", "Tc", "Tc", "Tc", "Tc", "Tc", "Tc"], "frac_coords": [[0.008, 0.250, 0.143], [0.492, 0.750, 0.643], [0.508, 0.250, 0.357], [0.992, 0.750, 0.857], [0.052, 0.750, 0.348], [0.218, 0.022, 0.617], [0.218, 0.478, 0.617], [0.282, 0.522, 0.117], [0.282, 0.978, 0.117], [0.448, 0.250, 0.848], [0.552, 0.750, 0.152], [0.718, 0.022, 0.883], [0.718, 0.478, 0.883], [0.782, 0.522, 0.383], [0.782, 0.978, 0.383], [0.948, 0.250, 0.652]], "spacegroup": "Pnma, No. 62", "crystal_system": "orthorhombic"}


Entry 2
{"formula": "ScTc3", "functional": "PBE", "state": "optimized geometry", "cell": [[4.386, 2.532, 0.934], [-4.386, 2.532, 0.934], [0.000, -5.064, 0.934]], "species": ["Sc", "Tc", "Tc", "Tc"], "frac_coords": [[0.000, 0.000, 0.000], [0.000, 0.500, 0.500], [0.500, 0.000, 0.500], [0.500, 0.500, 0.000]], "spacegroup": "R-3m, No. 166", "crystal_system": "trigonal"}


What should be chosen as the most stable of them? Choose entry 2.


Entry 1
{"formula": "ScTc5", "functional": "PBE", "state": "optimized geometry", "cell": [[1.992, -5.808, 0.000], [1.992, 5.808, 0.000], [0.000, 0.000, 4.037]], "species": ["Sc", "Tc", "Tc", "Tc", "Tc", "Tc"], "frac_coords": [[0.000, 0.000, 0.000], [0.174, 0.826, 0.500], [0.320, 0.680, 0.000], [0.500, 0.500, 0.500], [0.680, 0.320, 0.000], [0.826, 0.174, 0.500]], "spacegroup": "Cmmm, No. 65", "crystal_system": "orthorhombic"}


Entry 2
{"formula": "ScTc5", "functional": "PBE", "state": "optimized geometry", "cell": [[4.793, 0.000, 0.000], [-2.397, 4.151, 0.000], [0.000, 0.000, 4.618]], "species": ["Sc", "Tc", "Tc", "Tc", "Tc", "Tc"], "frac_coords": [[0.000, 0.000, 0.000], [0.000, 0.666, 0.500], [0.333, 0.667, 0.000], [0.334, 0.334, 0.500], [0.666, 0.000, 0.500], [0.667, 0.333, 0.000]], "spacegroup": "P-62m, No. 189", "crystal_system": "hexagonal"}


What should be chosen as the most stable of them? Choose entry 1.


Entry 1
{"formula": "ScTc5", "functional": "PBE", "state": "optimized geometry", "cell": [[0.000, 3.638, 3.638], [3.638, 0.000, 3.638], [3.638, 3.638, 0.000]], "species": ["Sc", "Tc", "Tc", "Tc", "Tc", "Tc"], "frac_coords": [[0.000, 0.000, 0.000], [0.374, 0.374, 0.374], [0.374, 0.374, 0.878], [0.374, 0.878, 0.374], [0.750, 0.750, 0.750], [0.878, 0.374, 0.374]], "spacegroup": "F-43m, No. 216", "crystal_system": "cubic"}


Entry 2
{"formula": "ScTc5", "functional": "PBE", "state": "optimized geometry", "cell": [[5.109, 0.000, 0.000], [-2.554, 4.424, 0.000], [0.000, 0.000, 4.482]], "species": ["Sc", "Tc", "Tc", "Tc", "Tc", "Tc"], "frac_coords": [[0.000, 0.000, 0.000], [0.000, 0.500, 0.500], [0.333, 0.667, 0.000], [0.500, 0.000, 0.500], [0.500, 0.500, 0.500], [0.667, 0.333, 0.000]], "spacegroup": "P6/mmm, No. 191", "crystal_system": "hexagonal"}


What should be chosen as the most stable of them? Choose entry 1.


Entry 1
{"formula": "ScTc5", "functional": "PBE", "state": "optimized geometry", "cell": [[4.941, -1.513, 0.000], [4.941, 1.513, 0.000], [-2.058, 0.000, 6.190]], "species": ["Sc", "Tc", "Tc", "Tc", "Tc", "Tc"], "frac_coords": [[0.000, 0.000, 0.000], [0.042, 0.042, 0.536], [0.337, 0.337, 0.640], [0.347, 0.347, 0.220], [0.670, 0.670, 0.330], [0.690, 0.690, 0.865]], "spacegroup": "Cm, No. 8", "crystal_system": "monoclinic"}


Entry 2
{"formula": "ScTc5", "functional": "PBE", "state": "optimized geometry", "cell": [[1.545, -6.696, 0.000], [1.545, 6.696, 0.000], [0.000, 0.000, 4.447]], "species": ["Sc", "Tc", "Tc", "Tc", "Tc", "Tc"], "frac_coords": [[0.000, 0.000, 0.000], [0.164, 0.836, 0.500], [0.327, 0.673, 0.000], [0.500, 0.500, 0.500], [0.673, 0.327, 0.000], [0.836, 0.164, 0.500]], "spacegroup": "Cmmm, No. 65", "crystal_system": "orthorhombic"}


What should be chosen as the most stable of them? Choose entry 1.


Entry 1
{"formula": "Sc4Tc5", "functional": "PBE", "state": "optimized geometry", "cell": [[8.164, 0.000, 0.000], [-4.082, 7.070, 0.000], [0.000, 0.000, 5.295]], "species": ["Sc", "Sc", "Sc", "Sc", "Sc", "Sc", "Sc", "Sc", "Tc", "Tc", "Tc", "Tc", "Tc", "Tc", "Tc", "Tc", "Tc", "Tc"], "frac_coords": [[0.000, 0.000, 0.000], [0.000, 0.000, 0.500], [0.000, 0.379, 0.250], [0.000, 0.621, 0.750], [0.379, 0.000, 0.250], [0.379, 0.379, 0.750], [0.621, 0.000, 0.750], [0.621, 0.621, 0.250], [0.000, 0.300, 0.750], [0.000, 0.700, 0.250], [0.300, 0.000, 0.750], [0.300, 0.300, 0.250], [0.333, 0.667, 0.000], [0.333, 0.667, 0.500], [0.667, 0.333, 0.000], [0.667, 0.333, 0.500], [0.700, 0.000, 0.250], [0.700, 0.700, 0.750]], "spacegroup": "P6_3/mcm, No. 193", "crystal_system": "hexagonal"}


Entry 2
{"formula": "Sc4Tc5", "functional": "PBE", "state": "optimized geometry", "cell": [[-4.921, 4.921, 1.599], [4.921, -4.921, 1.599], [4.921, 4.921, -1.599]], "species": ["Sc", "Sc", "Sc", "Sc", "Tc", "Tc", "Tc", "Tc", "Tc"], "frac_coords": [[0.000, 0.306, 0.306], [0.000, 0.694, 0.694], [0.306, 0.000, 0.306], [0.694, 0.000, 0.694], [0.000, 0.000, 0.000], [0.334, 0.334, 0.667], [0.334, 0.666, 0.000], [0.666, 0.334, 0.000], [0.666, 0.666, 0.333]], "spacegroup": "I4/mmm, No. 139", "crystal_system": "tetragonal"}


What should be chosen as the most stable of them? Choose entry 2.


Entry 1
{"formula": "ScTc6", "functional": "PBE", "state": "optimized geometry", "cell": [[-3.372, 3.372, 3.372], [3.372, -3.372, 3.372], [3.372, 3.372, -3.372]], "species": ["Sc", "Tc", "Tc", "Tc", "Tc", "Tc", "Tc"], "frac_coords": [[0.000, 0.000, 0.000], [0.250, 0.500, 0.750], [0.250, 0.750, 0.500], [0.500, 0.250, 0.750], [0.500, 0.750, 0.250], [0.750, 0.250, 0.500], [0.750, 0.500, 0.250]], "spacegroup": "Im-3m, No. 229", "crystal_system": "cubic"}


Entry 2
{"formula": "ScTc6", "functional": "PBE", "state": "optimized geometry", "cell": [[8.348, 0.000, 0.000], [0.000, 5.102, 0.000], [0.000, 0.000, 10.702]], "species": ["Sc", "Sc", "Sc", "Sc", "Tc", "Tc", "Tc", "Tc", "Tc", "Tc", "Tc", "Tc", "Tc", "Tc", "Tc", "Tc", "Tc", "Tc", "Tc", "Tc", "Tc", "Tc", "Tc", "Tc", "Tc", "Tc", "Tc", "Tc"], "frac_coords": [[0.231, 0.250, 0.056], [0.269, 0.750, 0.556], [0.731, 0.250, 0.444], [0.769, 0.750, 0.944], [0.073, 0.009, 0.305], [0.073, 0.491, 0.305], [0.074, 0.750, 0.075], [0.078, 0.250, 0.521], [0.137, 0.750, 0.852], [0.183, 0.250, 0.757], [0.317, 0.750, 0.257], [0.363, 0.250, 0.352], [0.422, 0.750, 0.021], [0.426, 0.250, 0.575], [0.427, 0.509, 0.805], [0.427, 0.991, 0.805], [0.573, 0.009, 0.195], [0.573, 0.491, 0.195], [0.574, 0.750, 0.425], [0.578, 0.250, 0.979], [0.637, 0.750, 0.648], [0.683, 0.250, 0.743], [0.817, 0.750, 0.243], [0.863, 0.250, 0.148], [0.922, 0.750, 0.479], [0.926, 0.250, 0.925], [0.927, 0.509, 0.695], [0.927, 0.991, 0.695]], "spacegroup": "Pnma, No. 62", "crystal_system": "orthorhombic"}


What should be chosen as the most stable of them? Choose entry 2.


Entry 1
{"formula": "ScTcTe", "functional": "PBE", "state": "optimized geometry", "cell": [[0.000, 3.173, 3.173], [3.173, 0.000, 3.173], [3.173, 3.173, 0.000]], "species": ["Sc", "Tc", "Te"], "frac_coords": [[0.000, 0.000, 0.000], [0.250, 0.250, 0.250], [0.500, 0.500, 0.500]], "spacegroup": "F-43m, No. 216", "crystal_system": "cubic"}


Entry 2
{"formula": "ScTcTe", "functional": "PBE", "state": "optimized geometry", "cell": [[3.380, 0.000, 0.000], [-1.690, 2.928, 0.000], [0.000, 0.000, 6.298]], "species": ["Sc", "Tc", "Te"], "frac_coords": [[0.000, 0.000, 0.000], [0.667, 0.333, 0.311], [0.333, 0.667, 0.612]], "spacegroup": "P3m1, No. 156", "crystal_system": "trigonal"}


Entry 3
{"formula": "ScTcTe", "functional": "PBE", "state": "optimized geometry", "cell": [[-1.640, 1.640, 5.669], [1.640, -1.640, 5.669], [1.640, 1.640, -5.669]], "species": ["Sc", "Tc", "Te"], "frac_coords": [[0.000, 0.000, 0.000], [0.344, 0.344, 0.000], [0.716, 0.716, 0.000]], "spacegroup": "I4mm, No. 107", "crystal_system": "tetragonal"}


What should be chosen as the most stable of them? Choose entry 1.


Entry 1
{"formula": "ThScTc", "functional": "PBE", "state": "optimized geometry", "cell": [[-1.699, 1.699, 6.132], [1.699, -1.699, 6.132], [1.699, 1.699, -6.132]], "species": ["Th", "Sc", "Tc"], "frac_coords": [[0.000, 0.000, 0.000], [0.267, 0.267, 0.000], [0.641, 0.641, 0.000]], "spacegroup": "I4mm, No. 107", "crystal_system": "tetragonal"}


Entry 2
{"formula": "ThScTc", "functional": "PBE", "state": "optimized geometry", "cell": [[0.000, 3.348, 3.348], [3.348, 0.000, 3.348], [3.348, 3.348, 0.000]], "species": ["Th", "Sc", "Tc"], "frac_coords": [[0.000, 0.000, 0.000], [0.500, 0.500, 0.500], [0.750, 0.750, 0.750]], "spacegroup": "F-43m, No. 216", "crystal_system": "cubic"}


Entry 3
{"formula": "ThScTc", "functional": "PBE", "state": "optimized geometry", "cell": [[-2.092, 2.092, 7.791], [2.092, -2.092, 7.791], [2.092, 2.092, -7.791]], "species": ["Th", "Th", "Sc", "Sc", "Tc", "Tc"], "frac_coords": [[0.174, 0.174, 0.000], [0.826, 0.826, 0.000], [0.000, 0.500, 0.500], [0.500, 0.000, 0.500], [0.371, 0.371, 0.000], [0.629, 0.629, 0.000]], "spacegroup": "I4/mmm, No. 139", "crystal_system": "tetragonal"}


What should be chosen as the most stable of them? Choose entry 3.


Entry 1
{"formula": "ThScTlTc", "functional": "PBE", "state": "optimized geometry", "cell": [[0.000, 3.598, 3.598], [3.598, 0.000, 3.598], [3.598, 3.598, 0.000]], "species": ["Th", "Sc", "Tl", "Tc"], "frac_coords": [[0.000, 0.000, 0.000], [0.500, 0.500, 0.500], [0.250, 0.250, 0.250], [0.750, 0.750, 0.750]], "spacegroup": "F-43m, No. 216", "crystal_system": "cubic"}


Entry 2
{"formula": "ThScTlTc", "functional": "PBE", "state": "optimized geometry", "cell": [[3.382, 0.000, 0.000], [0.000, 3.382, 0.000], [0.000, 0.000, 8.203]], "species": ["Th", "Sc", "Tl", "Tc"], "frac_coords": [[0.000, 0.000, 0.000], [0.000, 0.000, 0.597], [0.500, 0.500, 0.329], [0.500, 0.500, 0.779]], "spacegroup": "P4mm, No. 99", "crystal_system": "tetragonal"}


What should be chosen as the most stable of them? Choose entry 2.


Entry 1
{"formula": "Sc2TiTc", "functional": "PBE", "state": "optimized geometry", "cell": [[-3.739, 3.739, 2.834], [3.739, -3.739, 2.834], [3.739, 3.739, -2.834]], "species": ["Sc", "Sc", "Sc", "Sc", "Ti", "Ti", "Tc", "Tc"], "frac_coords": [[0.092, 0.625, 0.967], [0.375, 0.342, 0.467], [0.658, 0.125, 0.033], [0.875, 0.908, 0.533], [0.250, 0.750, 0.500], [0.500, 0.500, 0.000], [0.000, 0.000, 0.000], [0.750, 0.250, 0.500]], "spacegroup": "I-42d, No. 122", "crystal_system": "tetragonal"}


Entry 2
{"formula": "Sc2TiTc", "functional": "PBE", "state": "optimized geometry", "cell": [[1.534, 0.885, 9.772], [-1.534, 0.885, 9.772], [0.000, -1.771, 9.772]], "species": ["Sc", "Sc", "Ti", "Tc"], "frac_coords": [[0.098, 0.098, 0.098], [0.902, 0.902, 0.902], [0.000, 0.000, 0.000], [0.500, 0.500, 0.500]], "spacegroup": "R-3m, No. 166", "crystal_system": "trigonal"}


What should be chosen as the most stable of them? Choose entry 2.


Entry 1
{"formula": "Sc3TiTc", "functional": "PBE", "state": "optimized geometry", "cell": [[4.957, 0.000, 0.000], [0.000, 4.957, 0.000], [0.000, 0.000, 4.957]], "species": ["Sc", "Sc", "Sc", "Ti", "Tc"], "frac_coords": [[0.000, 0.000, 0.500], [0.000, 0.500, 0.000], [0.500, 0.000, 0.000], [0.500, 0.500, 0.500], [0.000, 0.000, 0.000]], "spacegroup": "Pm-3m, No. 221", "crystal_system": "cubic"}


Entry 2
{"formula": "Sc3TiTc", "functional": "PBE", "state": "optimized geometry", "cell": [[4.788, 0.000, 0.000], [0.000, 4.788, 0.000], [0.000, 0.000, 4.788]], "species": ["Sc", "Sc", "Sc", "Ti", "Tc"], "frac_coords": [[0.000, 0.000, 0.500], [0.000, 0.500, 0.000], [0.500, 0.000, 0.000], [0.000, 0.000, 0.000], [0.500, 0.500, 0.500]], "spacegroup": "Pm-3m, No. 221", "crystal_system": "cubic"}


What should be chosen as the most stable of them? Choose entry 1.